A plane-wave DFT calculation with PBE-GGA was carried out for a relaxed structure of CrNiCl2.

Lattice parameters (Å, degrees): 7.452 7.452 7.452 28.12 28.12 28.12
Fractional positions:
1 Ni 0.751 0.751 0.751
2 Cl 0.215 0.215 0.215
3 Cl 0.046 0.046 0.046
4 Cr 0.488 0.488 0.488

Values from the calculation:
E_form (uncorrected) = -0.2894 eV/atom
SG = No. 160
crystal system = trigonal
N(E_F) = 1.5 states/eV/f.u.
E_tot = -5.06 eV/atom
distance to the lowest polymorph of the same formula = 0 meV per atom
size of the total moment = 3.7 Bohr magnetons per cell



A plane-wave DFT calculation with PBE-GGA was carried out for a relaxed structure of RbCaCuSe2.

Lattice parameters (Å, degrees): 5.554 7.611 8.656 116.08 90.00 90.00
Fractional positions:
1 Rb 0.769 0.250 0.500
2 Rb 0.231 0.750 0.500
3 Se 0.735 0.612 0.224
4 Se 0.265 0.388 0.776
5 Se 0.735 0.888 0.776
6 Se 0.265 0.112 0.224
7 Cu 0.000 0.000 0.000
8 Cu 0.000 0.500 0.000
9 Ca 0.500 0.250 0.000
10 Ca 0.500 0.750 0.000

Values from the calculation:
E_form (uncorrected) = -1.1221 eV/atom
SG = No. 67
crystal system = orthorhombic
N(E_F) = 0.0 states/eV/f.u.
E_tot = -3.93 eV/atom
size of the total moment = 0.0 Bohr magnetons per cell



A plane-wave DFT calculation with PBE-GGA was carried out for a relaxed structure of MgGaSbI2.

Lattice parameters (Å, degrees): 5.624 5.624 5.533 90.00 90.00 90.00
Fractional positions:
1 Sb 0.000 0.000 0.500
2 Ga 0.000 0.000 0.000
3 I 0.000 0.500 0.000
4 I 0.500 0.000 0.000
5 Mg 0.500 0.500 0.500

Values from the calculation:
E_form (uncorrected) = 0.1735 eV/atom
SG = No. 123
crystal system = tetragonal
N(E_F) = 3.3 states/eV/f.u.
E_tot = -2.20 eV/atom
distance to the lowest polymorph of the same formula = 184 meV per atom
size of the total moment = 0.5 Bohr magnetons per cell